{
  "formula": "NiSbOsO",
  "functional": "PBE+U",
  "state": "optimized geometry",
  "energy_ev_per_atom": -5.48,
  "total_magnetization_mub_per_fu": 1.037,
  "dos_ef_per_ev_atom": 0.435,
  "lattice": [[4.164, -1.465, 0.000], [4.164, 1.465, 0.000], [-0.221, 0.000, 5.221]],
  "species": ["Ni", "Sb", "Os", "O"],
  "fractional_positions": [[0.000, 0.000, 0.000], [0.459, 0.459, 0.516], [0.732, 0.732, 0.236], [0.229, 0.229, 0.963]]
}